VASP calculation (PBE-GGA) on a geometry-optimized TiNiMo3 structure.

Cell: 4.504 4.504 4.504 Å, 90.00 90.00 90.00°
Element x y z (fractional)
Ni  0.500  0.500  0.500
Mo  0.000  0.500  0.000
Mo  0.000  0.000  0.500
Mo  0.500  0.000  0.000
Ti  0.000  0.000  0.000

## Properties
Energy relative to the lowest polymorph listed for this composition: 463 meV per atom
Magnetization: 0.00 μB/cell
E_tot: -7.575 eV per atom
ΔE_f: 1658 meV per atom



VASP calculation (PBE-GGA) on a geometry-optimized ZrReN2 structure.

Cell: 4.589 4.589 6.140 Å, 68.06 68.06 90.00°
Element x y z (fractional)
Re  0.000  0.000  0.000
Re  0.750  0.250  0.500
Zr  0.500  0.500  0.000
Zr  0.250  0.750  0.500
N  0.668  0.125  0.250
N  0.082  0.625  0.250
N  0.375  0.332  0.750
N  0.875  0.918  0.750

## Properties
Energy relative to the lowest polymorph listed for this composition: 0 meV per atom
Magnetization: 0.00 μB/cell
E_tot: -9.869 eV per atom



VASP calculation (PBE-GGA) on a geometry-optimized SrScGe2Pt5 structure.

Cell: 4.149 4.149 11.150 Å, 90.00 90.00 90.00°
Element x y z (fractional)
Sr  0.000  0.000  0.500
Sc  0.000  0.000  0.000
Ge  0.500  0.500  0.283
Ge  0.500  0.500  0.717
Pt  0.000  0.500  0.163
Pt  0.500  0.000  0.163
Pt  0.000  0.500  0.837
Pt  0.500  0.000  0.837
Pt  0.500  0.500  0.500

## Properties
Magnetization: 0.00 μB/cell
E_tot: -6.012 eV per atom
ΔE_f: -740 meV per atom



> What is the formula in the third record?

SrScGe2Pt5



> Which value of magnetization does entry 3 give?

0.00 μB/cell



> What is the magnetization in the first record?

0.00 μB/cell



> Among the records above, which one has the highest E_tot?

SrScGe2Pt5